The following is a DFT calculation (GGA-PBEsol) of an optimized crystal structure of RbMg2Tl2.

abc: 3.237 9.409 9.409
angles: 90.00 90.00 90.00
Fractional coordinates of all 10 atoms:
Tl 0.000 0.653 0.153
Tl 0.000 0.153 0.347
Tl 0.000 0.847 0.653
Tl 0.000 0.347 0.847
Mg 0.500 0.135 0.635
Mg 0.500 0.865 0.365
Mg 0.500 0.635 0.865
Mg 0.500 0.365 0.135
Rb 0.000 0.500 0.500
Rb 0.000 0.000 0.000

Computed properties:
ΔE_f = -43 meV per atom
crystal system = tetragonal
total magnetic moment = 0.00 μB/f.u.
E_tot = -19.868 eV/cell
mass density = 6.29 g cm⁻³
DOS at the Fermi energy = 4.241 states/eV/cell
space group = P4/mbm
energy relative to the lowest polymorph listed for this composition = 0.000 eV per atom

The following is a DFT calculation (GGA-PBEsol) of an optimized crystal structure of RbMg3Tl.

abc: 6.275 6.275 6.275
angles: 90.00 90.00 90.00
Fractional coordinates of all 5 atoms:
Rb 0.000 0.000 0.000
Mg 0.500 0.000 0.000
Mg 0.000 0.000 0.500
Mg 0.000 0.500 0.000
Tl 0.500 0.500 0.500

Computed properties:
ΔE_f = 1051 meV per atom
crystal system = cubic
total magnetic moment = 0.00 μB/f.u.
E_tot = -3.553 eV/cell
mass density = 2.44 g cm⁻³
DOS at the Fermi energy = 4.898 states/eV/cell
space group = Pm-3m

The following is a DFT calculation (GGA-PBEsol) of an optimized crystal structure of RbMg2Tl2.

abc: 4.999 4.999 7.175
angles: 110.39 110.39 90.00
Fractional coordinates of all 5 atoms:
Rb 0.000 0.000 0.000
Tl 0.621 0.621 0.242
Tl 0.379 0.379 0.758
Mg 0.250 0.750 0.500
Mg 0.750 0.250 0.500

Computed properties:
ΔE_f = -34 meV per atom
crystal system = tetragonal
total magnetic moment = 0.00 μB/f.u.
E_tot = -9.889 eV/cell
mass density = 5.78 g cm⁻³
DOS at the Fermi energy = 3.305 states/eV/cell
space group = I4/mmm
energy relative to the lowest polymorph listed for this composition = 0.009 eV per atom